Entry 1:
## RbTaO2 (PBE-GGA)

Data for a relaxed structure of RbTaO2.

Its density of states at the Fermi level is 0.200 states/eV/atom. The calculation puts the electronic total energy at -5.913 eV/atom. The magnetization is 1.985 μB per formula unit. The energy relative to the lowest polymorph listed for this composition comes out at 1.444 eV/atom. The calculation puts the formation energy from raw total energies at -229 meV/atom.

The space group is Fm-3m (No. 225) and the conventional cell measures 6.000, 6.000 and 6.000 Å, with angles of 90.00, 90.00 and 90.00 degrees. Symmetry generates all atoms from Rb at (0.000, 0.000, 0.000), Ta at (0.000, 0.000, 0.500) and O at (0.250, 0.250, 0.250).



Entry 2:
## Rb2TaO5 (PBE-GGA)

Data for a relaxed structure of Rb2TaO5.

Its density of states at the Fermi level is 0.848 states/eV/atom. The calculation puts the electronic total energy at -6.381 eV/atom. The magnetization is 3.000 μB per formula unit. The calculation puts the formation energy from raw total energies at -1559 meV/atom.

The space group is P4/mmm (No. 123) and the conventional cell measures 6.575, 6.575 and 4.051 Å, with angles of 90.00, 90.00 and 90.00 degrees. Symmetry generates all atoms from Rb at (0.000, 0.500, 0.000), Ta at (0.000, 0.000, 0.500), O at (0.000, 0.000, 0.000) and O at (0.211, 0.211, 0.500).



Q: Which of these has the highest magnetization?
A: Rb2TaO5